(1)
Compound: Ti2NbNi6
Source: Alexandria via LeMat-Bulk
Functional: PBE-GGA
Structure: optimized geometry

Unit cell a=5.0031 b=5.0031 c=5.5731 alpha=90.00 beta=90.00 gamma=120.00
Space group P-3m1 (No. 164)
Asymmetric unit:
Ti 0.3333 0.6667 0.3572 (multiplicity 2)
Nb 0.0000 0.0000 0.5000 (multiplicity 1)
Ni 0.1761 0.3522 0.8311 (multiplicity 6)

Computed properties:
formation enthalpy at 0 K	-153.9	meV per atom
crystal system	trigonal

---

(2)
Compound: Pm2EuGa
Source: Alexandria via LeMat-Bulk
Functional: PBE-GGA
Structure: optimized geometry

Unit cell a=4.929 b=4.929 c=4.738 alpha=90.00 beta=90.00 gamma=90.00
Space group P4/mmm (No. 123)
Asymmetric unit:
Pm 0.000 0.500 0.000 (multiplicity 2)
Eu 0.000 0.000 0.500 (multiplicity 1)
Ga 0.500 0.500 0.500 (multiplicity 1)

Computed properties:
polymorph energy (0 for the lowest one)	4.24	kJ per mole of atoms
formation enthalpy at 0 K	-183.4	meV per atom
crystal system	tetragonal

---

(3)
Compound: Nb2SiAs
Source: Alexandria via LeMat-Bulk
Functional: PBE-GGA
Structure: optimized geometry

Unit cell a=3.6873 b=3.6873 c=18.2237 alpha=90.00 beta=90.00 gamma=120.00
Space group R-3m (No. 166, hexagonal axes)
Asymmetric unit:
Nb 0.0000 0.0000 0.2399 (multiplicity 6)
Si 0.0000 0.0000 0.5000 (multiplicity 3)
As 0.0000 0.0000 0.0000 (multiplicity 3)

Computed properties:
polymorph energy (0 for the lowest one)	0.00	kJ per mole of atoms
formation energy (no corrections)	-29.4	kJ per mole of atoms
crystal system	trigonal

---

(4)
Compound: Pm4ErTe5
Source: Alexandria via LeMat-Bulk
Functional: PBE-GGA
Structure: optimized geometry

Unit cell a=4.398 b=4.398 c=32.011 alpha=90.00 beta=90.00 gamma=90.00
Space group I4/mmm (No. 139)
Asymmetric unit:
Pm 0.000 0.000 0.106 (multiplicity 4)
Pm 0.000 0.000 0.310 (multiplicity 4)
Er 0.000 0.000 0.500 (multiplicity 2)
Te 0.000 0.000 0.000 (multiplicity 2)
Te 0.000 0.000 0.206 (multiplicity 4)
Te 0.000 0.000 0.407 (multiplicity 4)

Computed properties:
formation energy (no corrections)	-132.2	kJ per mole of atoms
crystal system	tetragonal

---

(5)
Compound: La4InPt
Source: Alexandria via LeMat-Bulk
Functional: PBE-GGA
Structure: optimized geometry

Unit cell a=8.948 b=8.948 c=8.948 alpha=90.00 beta=90.00 gamma=90.00
Space group F-43m (No. 216)
Asymmetric unit:
La 0.125 0.125 0.125 (multiplicity 16)
In 0.000 0.000 0.500 (multiplicity 4)
Pt 0.250 0.250 0.750 (multiplicity 4)

Computed properties:
polymorph energy (0 for the lowest one)	76.33	kJ per mole of atoms
formation enthalpy at 0 K	174.3	meV per atom
crystal system	cubic

---

(6)
Compound: CaZr4Pb
Source: Alexandria via LeMat-Bulk
Functional: PBE-GGA
Structure: optimized geometry

Unit cell a=8.504 b=8.504 c=8.504 alpha=90.00 beta=90.00 gamma=90.00
Space group F-43m (No. 216)
Asymmetric unit:
Ca 0.000 0.000 0.000 (multiplicity 4)
Zr 0.128 0.128 0.372 (multiplicity 16)
Pb 0.250 0.250 0.750 (multiplicity 4)

Computed properties:
formation enthalpy at 0 K	242.9	meV per atom
crystal system	cubic

---

Number 1: density of states at the Fermi level 7.57 states/eV per cell. Number 2: density of states at the Fermi level 4.51 states/eV per cell. Number 3: density of states at the Fermi level 3.23 states/eV per cell. Number 4: density of states at the Fermi level 11.30 states/eV per cell. Number 5: density of states at the Fermi level 28.63 states/eV per cell. Number 6: density of states at the Fermi level 39.56 states/eV per cell.